Record 1
An optimized crystal structure of IrSeO2F, computed with PBE.

abc: 3.9154 3.9154 4.2847
angles: 90.00 90.00 90.00
Last column: nearest neighbours and their distance in Å.
Fractional coordinates of all 5 atoms:
O  0.0000  0.5000  0.0000  2 Ir 1.96
O  0.5000  0.0000  0.0000  2 Ir 1.96
Se  0.5000  0.5000  0.5000  4 F 2.77, 8 O 2.90
Ir  0.0000  0.0000  0.0000  4 O 1.96, 2 F 2.14
F  0.0000  0.0000  0.5000  2 Ir 2.14

## Properties
- D(E_F) (states/eV per atom) = 0.850
- total magnetization (μB per formula unit) = 0.00
- raw formation energy (eV per atom) = 0.023
- symmetry = P4/mmm (123)

Record 2
An optimized crystal structure of Th2ZnOs, computed with PBE.

abc: 3.6369 3.6369 7.2096
angles: 90.00 90.00 90.00
Last column: nearest neighbours and their distance in Å.
Fractional coordinates of all 4 atoms:
Zn  0.5000  0.5000  0.5000  8 Th 3.21
Th  0.0000  0.0000  0.7669  4 Os 3.07, 4 Zn 3.21, 1 Th 3.36
Th  0.0000  0.0000  0.2331  4 Os 3.07, 4 Zn 3.21, 1 Th 3.36
Os  0.5000  0.5000  0.0000  8 Th 3.07

## Properties
- D(E_F) (states/eV per atom) = 0.714
- total magnetization (μB per formula unit) = 0.00
- raw total energy (eV/atom) = -7.0211
- symmetry = P4/mmm (123)

Record 3
An optimized crystal structure of MnFe4Ge, computed with PBE.

abc: 3.9664 4.8082 8.3467
angles: 90.00 103.75 90.00
Last column: nearest neighbours and their distance in Å.
Fractional coordinates of all 12 atoms:
Fe  0.5672  0.4270  0.1343  3 Fe 2.37-2.44, 3 Mn 2.39-2.45, 2 Ge 2.46
Fe  0.0063  0.6376  0.0126  6 Fe 2.41-2.70, 1 Ge 2.52, 2 Mn 2.67
Fe  0.4328  0.9270  0.8657  3 Fe 2.37-2.44, 3 Mn 2.39-2.45, 2 Ge 2.46
Fe  0.2949  0.0883  0.5897  5 Fe 2.30-2.42, 1 Mn 2.55
Fe  0.2775  0.5879  0.5550  4 Fe 2.30-2.42, 1 Mn 2.40, 2 Ge 2.52
Fe  0.9937  0.1376  0.9874  6 Fe 2.41-2.70, 1 Ge 2.52, 2 Mn 2.67
Fe  0.7051  0.5883  0.4103  5 Fe 2.30-2.42, 1 Mn 2.55
Fe  0.7225  0.0879  0.4450  4 Fe 2.30-2.42, 1 Mn 2.40, 2 Ge 2.52
Mn  0.5830  0.9209  0.1660  7 Fe 2.39-2.67
Mn  0.4170  0.4209  0.8340  7 Fe 2.39-2.67
Ge  0.1439  0.2716  0.2878  9 Fe 2.46-2.69
Ge  0.8561  0.7716  0.7122  9 Fe 2.46-2.69

## Properties
- D(E_F) (states/eV per atom) = 1.024
- total magnetization (μB per formula unit) = 9.95
- relative energy among the computed polymorphs (eV/f.u.) = 0.00
- symmetry = Cmc2_1 (36)